# 1
Entry from Alexandria: TaVCr2 after structural relaxation (PBE).

Lattice parameters (Å, degrees): 3.0131 3.0131 6.0267 90.00 90.00 90.00
Closest atoms and distances in Å follow each position.
Sites, in units of the cell vectors:
Cr  0.0000  0.0000  0.7633  4 V 2.56, 4 Ta 2.66, 1 Cr 2.85
Cr  0.0000  0.0000  0.2367  4 V 2.56, 4 Ta 2.66, 1 Cr 2.85
V  0.5000  0.5000  0.0000  8 Cr 2.56
Ta  0.5000  0.5000  0.5000  8 Cr 2.66

Values from the calculation:
Density of states at the Fermi level   3.77 states/eV per cell
Calculated formation energy   -0.1 eV/f.u.
Spin magnetization   0.00 μB/f.u.
V   13.7 Å³/atom
Symmetry   P4/mmm
Energy above the lowest structure with this stoichiometry   0.000 eV/atom

# 2
Entry from Alexandria: Ac3TbTl4 after structural relaxation (PBE).

Lattice parameters (Å, degrees): 4.0045 7.5416 10.5715 110.87 100.96 89.99
Closest atoms and distances in Å follow each position.
Sites, in units of the cell vectors:
Ac  0.0000  0.5000  0.0000  8 Tl 3.51
Ac  0.2164  0.2161  0.4322  6 Tl 3.44-3.52
Ac  0.7836  0.7839  0.5678  6 Tl 3.44-3.52
Tb  0.5000  0.0000  0.0000  4 Tl 3.20
Tl  0.3766  0.5936  0.7540  1 Tb 3.20, 1 Tl 3.27, 5 Ac 3.44-3.52
Tl  0.6234  0.4064  0.2460  1 Tb 3.20, 1 Tl 3.27, 5 Ac 3.44-3.52
Tl  0.6235  0.8397  0.2459  1 Tb 3.20, 1 Tl 3.27, 5 Ac 3.44-3.51
Tl  0.3765  0.1603  0.7541  1 Tb 3.20, 1 Tl 3.27, 5 Ac 3.44-3.51

Values from the calculation:
Density of states at the Fermi level   8.16 states/eV per cell
Calculated formation energy   -1.8 eV/f.u.
Spin magnetization   0.27 μB/f.u.
V   36.5 Å³/atom
Symmetry   Immm
Energy above the lowest structure with this stoichiometry   0.123 eV/atom

# 3
Entry from Alexandria: GeP2Ru after structural relaxation (PBE).

Lattice parameters (Å, degrees): 5.5291 5.5291 6.4791 64.74 64.74 90.00
Closest atoms and distances in Å follow each position.
Sites, in units of the cell vectors:
Ru  0.0000  0.0000  0.0000  4 P 2.27
Ru  0.7500  0.2500  0.5000  4 P 2.27
Ge  0.5000  0.5000  0.0000  4 P 2.42
Ge  0.2500  0.7500  0.5000  4 P 2.42
P  0.6468  0.1250  0.2500  2 Ru 2.27, 2 Ge 2.42
P  0.1032  0.6250  0.2500  2 Ru 2.27, 2 Ge 2.42
P  0.3750  0.3532  0.7500  2 Ru 2.27, 2 Ge 2.42
P  0.8750  0.8968  0.7500  2 Ru 2.27, 2 Ge 2.42

Values from the calculation:
Density of states at the Fermi level   2.42 states/eV per cell
Calculated formation energy   -0.4 eV/f.u.
Spin magnetization   0.00 μB/f.u.
V   19.7 Å³/atom
Symmetry   I-42d